## Er4B4O11F2 (PBE)

Data for crystalline Er4B4O11F2 at its relaxed geometry.

Calculated values
- Spin magnetization: 0.000 μB/f.u.
- Total DFT energy (no corrections): -338.83 eV/cell
- Crystal system: monoclinic

Lattice parameters (Å, degrees): 6.987 6.987 13.467 91.48 91.48 38.08
Fractional coordinates of all 42 atoms:
Er: 0.043 0.074 0.370
Er: 0.074 0.043 0.870
Er: 0.207 0.231 0.130
Er: 0.231 0.207 0.630
Er: 0.769 0.793 0.370
Er: 0.793 0.769 0.870
Er: 0.926 0.957 0.130
Er: 0.957 0.926 0.630
B: 0.364 0.443 0.479
B: 0.377 0.434 0.787
B: 0.434 0.377 0.287
B: 0.443 0.364 0.979
B: 0.557 0.636 0.021
B: 0.566 0.623 0.713
B: 0.623 0.566 0.213
B: 0.636 0.557 0.521
O: 0.088 0.755 0.467
O: 0.121 0.684 0.277
O: 0.132 0.510 0.744
O: 0.245 0.912 0.033
O: 0.269 0.556 0.896
O: 0.316 0.879 0.223
O: 0.318 0.449 0.071
O: 0.335 0.665 0.750
O: 0.444 0.731 0.604
O: 0.449 0.318 0.571
O: 0.490 0.868 0.756
O: 0.510 0.132 0.244
O: 0.551 0.682 0.429
O: 0.556 0.269 0.396
O: 0.665 0.335 0.250
O: 0.682 0.551 0.929
O: 0.684 0.121 0.777
O: 0.731 0.444 0.104
O: 0.755 0.088 0.967
O: 0.868 0.490 0.256
O: 0.879 0.316 0.723
O: 0.912 0.245 0.533
F: 0.201 0.262 0.424
F: 0.262 0.201 0.924
F: 0.738 0.799 0.076
F: 0.799 0.738 0.576